A geometry-optimized Ce2CdPd structure. Source: the Alexandria database, functional PBE-GGA.

Cell and atoms, written as CIF:
```
data_Ce2CdPd
_cell_length_a 3.836
_cell_length_b 3.836
_cell_length_c 6.749
_cell_angle_alpha 90.00
_cell_angle_beta 90.00
_cell_angle_gamma 90.00
_space_group_name_H-M_alt 'P 1'
_space_group_IT_number 1
loop_
_space_group_symop_operation_xyz
'x,y,z'
loop_
_atom_site_label
_atom_site_type_symbol
_atom_site_fract_x
_atom_site_fract_y
_atom_site_fract_z
_atom_site_occupancy
Pd1 Pd 0.500 0.500 0.000 1
Ce1 Ce 0.000 0.000 0.789 1
Ce2 Ce 0.000 0.000 0.211 1
Cd1 Cd 0.500 0.500 0.500 1
```

- SG = No. 123

---

A geometry-optimized Ce2CdPd structure. Source: the Alexandria database, functional PBE-GGA.

Cell and atoms, written as CIF:
```
data_Ce2CdPd
_cell_length_a 5.234
_cell_length_b 5.234
_cell_length_c 5.234
_cell_angle_alpha 60.00
_cell_angle_beta 60.00
_cell_angle_gamma 60.00
_space_group_name_H-M_alt 'P 1'
_space_group_IT_number 1
loop_
_space_group_symop_operation_xyz
'x,y,z'
loop_
_atom_site_label
_atom_site_type_symbol
_atom_site_fract_x
_atom_site_fract_y
_atom_site_fract_z
_atom_site_occupancy
Pd1 Pd 0.000 0.000 0.000 1
Ce1 Ce 0.250 0.250 0.250 1
Ce2 Ce 0.750 0.750 0.750 1
Cd1 Cd 0.500 0.500 0.500 1
```

- SG = No. 225

---

Record-wise energy of formation values, in meV per atom: -389.0, -289.5
Record-wise calculated volume values, in Å³/cell: 99.31, 101.39
Record-wise mass density values, in Mg/m³: 8.34, 8.17